Record 1
A relaxed Nd4GaPd crystal, computed with PBE-GGA.

abc: 6.314 7.036 8.478
angles: 90.00 109.73 90.00
Fractional positions:
Nd 0.004 0.001 0.237
Nd 0.004 0.499 0.237
Nd 0.408 0.250 0.610
Nd 0.427 0.250 0.101
Nd 0.573 0.750 0.899
Nd 0.592 0.750 0.390
Nd 0.996 0.501 0.763
Nd 0.996 0.999 0.763
Ga 0.209 0.750 0.552
Ga 0.791 0.250 0.448
Pd 0.236 0.750 0.060
Pd 0.764 0.250 0.940

Values from the calculation:
E_tot in eV per cell: -59.416
Spin magnetization in μB/f.u.: 0.000
Formation enthalpy at 0 K in eV/atom: -0.40
Excess energy over the best structure of this formula in the dataset in meV/atom: 0

---

Record 2
A relaxed ZrTi3Ni2 crystal, computed with PBE-GGA.

abc: 7.162 7.162 7.508
angles: 118.88 118.88 34.97
Fractional positions:
Zr 0.127 0.127 0.185
Zr 0.873 0.873 0.815
Ti 0.057 0.057 0.715
Ti 0.299 0.299 0.986
Ti 0.384 0.384 0.458
Ti 0.616 0.616 0.542
Ti 0.701 0.701 0.014
Ti 0.943 0.943 0.285
Ni 0.235 0.235 0.594
Ni 0.499 0.499 0.163
Ni 0.501 0.501 0.837
Ni 0.765 0.765 0.406

Values from the calculation:
E_tot in eV per cell: -90.300
Spin magnetization in μB/f.u.: 0.000
Formation enthalpy at 0 K in eV/atom: -0.23

---

> What is the formula in the first record?

Nd4GaPd

---

Repeat the second record exactly.
A relaxed ZrTi3Ni2 crystal, computed with PBE-GGA.

abc: 7.162 7.162 7.508
angles: 118.88 118.88 34.97
Fractional positions:
Zr 0.127 0.127 0.185
Zr 0.873 0.873 0.815
Ti 0.057 0.057 0.715
Ti 0.299 0.299 0.986
Ti 0.384 0.384 0.458
Ti 0.616 0.616 0.542
Ti 0.701 0.701 0.014
Ti 0.943 0.943 0.285
Ni 0.235 0.235 0.594
Ni 0.499 0.499 0.163
Ni 0.501 0.501 0.837
Ni 0.765 0.765 0.406

Values from the calculation:
E_tot in eV per cell: -90.300
Spin magnetization in μB/f.u.: 0.000
Formation enthalpy at 0 K in eV/atom: -0.23

---

> Number 1 is which compound?

Nd4GaPd